# SrPdF2

A crystal of SrPdF2 relaxed with PBEsol (meta-GGA SCAN, the Alexandria database).

Computed properties:
**Symmetry**: Fm-3m, No. 225
**Total DFT energy (no corrections)**: -71.04 eV per cell
**Formation energy from raw total energies**: -2.23 eV/atom

Cell: 4.338 4.338 4.338 Å, 60.00 60.00 60.00°
Positions (direct):
Sr 0.000 0.000 0.000
Pd 0.500 0.500 0.500
F 0.250 0.250 0.250
F 0.750 0.750 0.750



# TcPd3F

A crystal of TcPd3F relaxed with PBEsol (meta-GGA SCAN, the Alexandria database).

Computed properties:
**Symmetry**: Pm-3m, No. 221
**Total DFT energy (no corrections)**: -131.65 eV per cell
**Formation energy from raw total energies**: 1.05 eV/atom

Cell: 4.662 4.662 4.662 Å, 90.00 90.00 90.00°
Positions (direct):
Tc 0.000 0.000 0.000
Pd 0.000 0.500 0.000
Pd 0.000 0.000 0.500
Pd 0.500 0.000 0.000
F 0.500 0.500 0.500



# YTlPdF2

A crystal of YTlPdF2 relaxed with PBEsol (meta-GGA SCAN, the Alexandria database).

Computed properties:
**Symmetry**: P4/mmm, No. 123
**Total DFT energy (no corrections)**: -151.40 eV per cell
**Formation energy from raw total energies**: -2.27 eV/atom

Cell: 4.208 4.208 5.744 Å, 90.00 90.00 90.00°
Positions (direct):
Y 0.000 0.000 0.000
Tl 0.500 0.500 0.500
Pd 0.000 0.000 0.500
F 0.000 0.500 0.000
F 0.500 0.000 0.000



# PdWF2

A crystal of PdWF2 relaxed with PBEsol (meta-GGA SCAN, the Alexandria database).

Computed properties:
**Symmetry**: R-3m, No. 166
**Total DFT energy (no corrections)**: -112.22 eV per cell
**Formation energy from raw total energies**: -0.67 eV/atom

Cell: 2.707 2.707 9.239 Å, 81.58 81.58 60.00°
Positions (direct):
Pd 0.000 0.000 0.000
W 0.500 0.500 0.500
F 0.889 0.889 0.333
F 0.111 0.111 0.667



# ZrPdF3

A crystal of ZrPdF3 relaxed with PBEsol (meta-GGA SCAN, the Alexandria database).

Computed properties:
**Symmetry**: Pm-3m, No. 221
**Total DFT energy (no corrections)**: -85.41 eV per cell
**Formation energy from raw total energies**: -2.26 eV/atom

Cell: 4.171 4.171 4.171 Å, 90.00 90.00 90.00°
Positions (direct):
Zr 0.000 0.000 0.000
Pd 0.500 0.500 0.500
F 0.000 0.500 0.000
F 0.000 0.000 0.500
F 0.500 0.000 0.000



# Rb3PrF6

A crystal of Rb3PrF6 relaxed with PBEsol (meta-GGA SCAN, the Alexandria database).

Computed properties:
**Symmetry**: Fm-3m, No. 225
**Total DFT energy (no corrections)**: -160.39 eV per cell
**Formation energy from raw total energies**: -3.36 eV/atom

Cell: 6.915 6.915 6.915 Å, 60.00 60.00 60.00°
Positions (direct):
Pr 0.000 0.000 0.000
Rb 0.750 0.750 0.750
Rb 0.250 0.250 0.250
Rb 0.500 0.500 0.500
F 0.232 0.768 0.232
F 0.232 0.232 0.768
F 0.768 0.768 0.232
F 0.232 0.768 0.768
F 0.768 0.232 0.768
F 0.768 0.232 0.232



# Rb3PrF6

A crystal of Rb3PrF6 relaxed with PBEsol (meta-GGA SCAN, the Alexandria database).

Computed properties:
**Symmetry**: I4/mmm, No. 139
**Total DFT energy (no corrections)**: -160.03 eV per cell
**Formation energy from raw total energies**: -3.32 eV/atom

Cell: 7.053 7.053 7.053 Å, 93.78 117.84 117.84°
Positions (direct):
Rb 0.500 0.750 0.250
Rb 0.500 0.250 0.750
Rb 0.000 0.500 0.500
Pr 0.000 0.000 0.000
F 0.688 0.000 0.688
F 0.312 0.000 0.312
F 0.688 0.688 0.000
F 0.312 0.312 0.000
F 0.000 0.238 0.238
F 0.000 0.762 0.762



# PrZrF7

A crystal of PrZrF7 relaxed with PBEsol (meta-GGA SCAN, the Alexandria database).

Computed properties:
**Symmetry**: P2_1, No. 4
**Total DFT energy (no corrections)**: -272.26 eV per cell
**Formation energy from raw total energies**: -4.15 eV/atom

Cell: 5.857 6.249 8.423 Å, 102.47 90.00 90.00°
Positions (direct):
Pr 0.801 0.343 0.312
Pr 0.301 0.657 0.688
Zr 0.792 0.189 0.776
Zr 0.292 0.811 0.224
F 0.614 0.557 0.525
F 0.114 0.443 0.475
F 0.054 0.045 0.231
F 0.554 0.955 0.769
F 0.527 0.052 0.244
F 0.027 0.948 0.756
F 0.524 0.570 0.211
F 0.024 0.430 0.789
F 0.800 0.236 0.019
F 0.300 0.764 0.981
F 0.784 0.145 0.532
F 0.284 0.855 0.468
F 0.029 0.599 0.207
F 0.529 0.401 0.793



# PrZr2F11

A crystal of PrZr2F11 relaxed with PBEsol (meta-GGA SCAN, the Alexandria database).

Computed properties:
**Symmetry**: Ibam, No. 72
**Total DFT energy (no corrections)**: -402.33 eV per cell
**Formation energy from raw total energies**: -4.11 eV/atom

Cell: 7.773 8.383 8.383 Å, 73.67 62.38 62.38°
Positions (direct):
Pr 0.750 0.250 0.250
Pr 0.250 0.750 0.750
Zr 0.633 0.819 0.181
Zr 0.367 0.181 0.819
Zr 0.867 0.319 0.681
Zr 0.133 0.681 0.319
F 0.761 0.321 0.952
F 0.870 0.719 0.281
F 0.966 0.952 0.321
F 0.365 0.948 0.793
F 0.630 0.219 0.781
F 0.894 0.793 0.948
F 0.739 0.548 0.179
F 0.394 0.448 0.293
F 0.370 0.781 0.219
F 0.865 0.293 0.448
F 0.261 0.452 0.821
F 0.135 0.707 0.552
F 0.606 0.552 0.707
F 0.034 0.048 0.679
F 0.500 0.000 0.000
F 0.466 0.821 0.452
F 0.106 0.207 0.052
F 0.239 0.679 0.048
F 0.534 0.179 0.548
F 0.130 0.281 0.719
F 0.635 0.052 0.207
F 0.000 0.500 0.500



# Rb2PtF6

A crystal of Rb2PtF6 relaxed with PBEsol (meta-GGA SCAN, the Alexandria database).

Computed properties:
**Symmetry**: P-3m1, No. 164
**Total DFT energy (no corrections)**: -154.11 eV per cell
**Formation energy from raw total energies**: -2.35 eV/atom

Cell: 4.777 5.923 5.923 Å, 120.00 90.00 90.00°
Positions (direct):
Rb 0.286 0.667 0.333
Rb 0.714 0.333 0.667
Pt 0.000 0.000 0.000
F 0.221 0.160 0.840
F 0.221 0.680 0.840
F 0.221 0.160 0.320
F 0.779 0.840 0.160
F 0.779 0.320 0.160
F 0.779 0.840 0.680



# TlRePtF2

A crystal of TlRePtF2 relaxed with PBEsol (meta-GGA SCAN, the Alexandria database).

Computed properties:
**Symmetry**: P4/mmm, No. 123
**Total DFT energy (no corrections)**: -219.31 eV per cell
**Formation energy from raw total energies**: 0.28 eV/atom

Cell: 4.146 4.146 5.565 Å, 90.00 90.00 90.00°
Positions (direct):
Re 0.500 0.500 0.500
Tl 0.000 0.000 0.000
Pt 0.000 0.000 0.500
F 0.000 0.500 0.000
F 0.500 0.000 0.000



# RuPtF2

A crystal of RuPtF2 relaxed with PBEsol (meta-GGA SCAN, the Alexandria database).

Computed properties:
**Symmetry**: Fm-3m, No. 225
**Total DFT energy (no corrections)**: -111.40 eV per cell
**Formation energy from raw total energies**: 0.18 eV/atom

Cell: 4.123 4.123 4.123 Å, 60.00 60.00 60.00°
Positions (direct):
Ru 0.000 0.000 0.000
Pt 0.500 0.500 0.500
F 0.250 0.250 0.250
F 0.750 0.750 0.750



Q: What is the formula in the seventh record?
A: Rb3PrF6



Q: Look up the total DFT energy (no corrections) of the fifth one.
A: -85.41 eV per cell



Q: What is the formation energy from raw total energies in the eighth record?
A: -4.15 eV/atom



Copy entry 10 word for word.
# Rb2PtF6

A crystal of Rb2PtF6 relaxed with PBEsol (meta-GGA SCAN, the Alexandria database).

Computed properties:
**Symmetry**: P-3m1, No. 164
**Total DFT energy (no corrections)**: -154.11 eV per cell
**Formation energy from raw total energies**: -2.35 eV/atom

Cell: 4.777 5.923 5.923 Å, 120.00 90.00 90.00°
Positions (direct):
Rb 0.286 0.667 0.333
Rb 0.714 0.333 0.667
Pt 0.000 0.000 0.000
F 0.221 0.160 0.840
F 0.221 0.680 0.840
F 0.221 0.160 0.320
F 0.779 0.840 0.160
F 0.779 0.320 0.160
F 0.779 0.840 0.680